# Sr3Tl4, optimized geometry, DFT GGA-PBE
data_Sr3Tl4
_cell_length_a 15.3274
_cell_length_b 15.3274
_cell_length_c 6.9829
_cell_angle_alpha 90.00
_cell_angle_beta 90.00
_cell_angle_gamma 120.00
_symmetry_space_group_name_H-M 'R -3'
_symmetry_Int_Tables_number 148
_symmetry_space_group_name_Hall '-R 3'
loop_
_atom_site_label
_atom_site_type_symbol
_atom_site_fract_x
_atom_site_fract_y
_atom_site_fract_z
Sr1 Sr 0.0461 0.8219 0.2048
Tl1 Tl 0.0000 0.0000 0.0000
Tl2 Tl 0.0000 0.0000 0.5000
Tl3 Tl 0.0531 0.7966 0.6960
# formation energy: -0.37 eV/atom
# volume: 33.8 Å³/atom
# total moment: 0.0 Bohr magnetons per cell